Material: TaWBr2
Method: DFT, GGA-PBE
State: optimized geometry

Structure (CIF):
```
data_TaWBr2
_cell_length_a 3.4035
_cell_length_b 5.4336
_cell_length_c 10.0757
_cell_angle_alpha 90.00
_cell_angle_beta 90.00
_cell_angle_gamma 90.00
_symmetry_space_group_name_H-M 'C m m 2'
_symmetry_Int_Tables_number 35
_symmetry_space_group_name_Hall 'C 2 -2'
loop_
_atom_site_label
_atom_site_type_symbol
_atom_site_fract_x
_atom_site_fract_y
_atom_site_fract_z
Ta1 Ta 0.0000 0.0000 0.0000
W1 W 0.0000 0.5000 0.8051
Br1 Br 0.0000 0.0000 0.5928
Br2 Br 0.0000 0.5000 0.2126
```

## Properties
density	9.4	g/cm3
energy relative to the lowest polymorph listed for this composition	324	meV per atom
formation energy without anion corrections	269	meV per atom
total DFT energy (no corrections)	-6.769	eV per atom